1.
This record from Alexandria via LeMat-Bulk describes a geometry-optimized Dy12Co6Ir structure. The functional is PBE-GGA.

abc: 8.2184 8.2184 8.2184
angles: 109.47 109.47 109.47
With the nearest neighbours (Å) after each atom.
Element x y z (fractional)
Co: 0.5000 0.8845 0.3845  1 Co 2.19
Co: 0.6155 0.5000 0.1155  1 Co 2.19
Co: 0.8845 0.3845 0.5000  1 Co 2.19
Co: 0.1155 0.6155 0.5000  1 Co 2.19
Co: 0.5000 0.1155 0.6155  1 Co 2.19
Co: 0.3845 0.5000 0.8845  1 Co 2.19
Ir: 0.0000 0.0000 0.0000  12 Dy 3.34
Dy: 0.2960 0.1047 0.8087  3 Co 2.67-2.87
Dy: 0.4873 0.1913 0.2960  3 Co 2.67-2.87
Dy: 0.8087 0.7040 0.5127  3 Co 2.67-2.87
Dy: 0.7040 0.5127 0.8087  3 Co 2.67-2.87
Dy: 0.7040 0.8953 0.1913  3 Co 2.67-2.87
Dy: 0.5127 0.8087 0.7040  3 Co 2.67-2.87
Dy: 0.1047 0.8087 0.2960  3 Co 2.67-2.87
Dy: 0.1913 0.7040 0.8953  3 Co 2.67-2.87
Dy: 0.8087 0.2960 0.1047  3 Co 2.67-2.87
Dy: 0.1913 0.2960 0.4873  3 Co 2.67-2.87
Dy: 0.2960 0.4873 0.1913  3 Co 2.67-2.87
Dy: 0.8953 0.1913 0.7040  3 Co 2.67-2.87

Calculated values
The uncorrected energy comes out at -111.1 eV per cell. The calculation puts the density of states at the Fermi level at 13.48 states/eV per cell.


2.
This record from Alexandria via LeMat-Bulk describes a geometry-optimized Cd2Tc2Ag structure. The functional is PBE-GGA.

abc: 3.5226 3.5226 8.1587
angles: 77.53 77.53 90.00
With the nearest neighbours (Å) after each atom.
Element x y z (fractional)
Cd: 0.5993 0.5993 0.8015  4 Ag 2.93, 4 Tc 2.93, 1 Cd 3.08
Cd: 0.4007 0.4007 0.1985  4 Ag 2.93, 4 Tc 2.93, 1 Cd 3.08
Ag: 0.0000 0.0000 0.0000  8 Cd 2.93
Tc: 0.7500 0.2500 0.5000  4 Tc 2.49
Tc: 0.2500 0.7500 0.5000  4 Tc 2.49

Calculated values
The value obtained for the offset from the most stable computed form is 0.000 eV per atom. The uncorrected energy comes out at -23.1 eV per cell. The calculation puts the density of states at the Fermi level at 3.27 states/eV per cell.


3.
This record from Alexandria via LeMat-Bulk describes a geometry-optimized CdAg4Pd4 structure. The functional is PBE-GGA.

abc: 4.1534 6.3875 6.3875
angles: 83.93 71.03 71.03
With the nearest neighbours (Å) after each atom.
Element x y z (fractional)
Ag: 0.6691 0.6618 0.9999  6 Pd 2.83-2.91, 4 Ag 2.85-2.89, 2 Cd 2.91
Ag: 0.3310 0.9999 0.3382  6 Pd 2.83-2.91, 4 Ag 2.85-2.89, 2 Cd 2.91
Ag: 0.6690 0.0001 0.6618  6 Pd 2.83-2.91, 4 Ag 2.85-2.89, 2 Cd 2.91
Ag: 0.3309 0.3382 0.0001  6 Pd 2.83-2.91, 4 Ag 2.85-2.89, 2 Cd 2.91
Pd: 0.0000 0.6630 0.3370  5 Pd 2.78-2.86, 6 Ag 2.83-2.91, 1 Cd 2.88
Pd: 0.0000 0.3370 0.6630  5 Pd 2.78-2.86, 6 Ag 2.83-2.91, 1 Cd 2.88
Pd: 0.6630 0.3370 0.3370  5 Pd 2.78-2.86, 6 Ag 2.83-2.91, 1 Cd 2.88
Pd: 0.3370 0.6630 0.6630  5 Pd 2.78-2.86, 6 Ag 2.83-2.91, 1 Cd 2.88
Cd: 0.0000 0.0000 0.0000  4 Pd 2.88, 8 Ag 2.91

Calculated values
The uncorrected energy comes out at -34.0 eV per cell. The calculation puts the density of states at the Fermi level at 3.08 states/eV per cell.


4.
This record from Alexandria via LeMat-Bulk describes a geometry-optimized TmPu2Zr structure. The functional is PBE-GGA.

abc: 4.7892 4.6311 4.6311
angles: 90.00 90.00 90.00
With the nearest neighbours (Å) after each atom.
Element x y z (fractional)
Pu: 0.0000 0.0000 0.5000  4 Pu 3.27, 4 Zr 3.33, 4 Tm 3.33
Pu: 0.0000 0.5000 0.0000  4 Pu 3.27, 4 Zr 3.33, 4 Tm 3.33
Tm: 0.5000 0.5000 0.5000  4 Zr 3.27, 8 Pu 3.33
Zr: 0.5000 0.0000 0.0000  4 Tm 3.27, 8 Pu 3.33

Calculated values
The value obtained for the offset from the most stable computed form is 0.027 eV per atom. The uncorrected energy comes out at -41.0 eV per cell. The calculation puts the density of states at the Fermi level at 13.55 states/eV per cell.


5.
This record from Alexandria via LeMat-Bulk describes a geometry-optimized TaB2Mo structure. The functional is PBE-GGA.

abc: 4.9519 4.9519 5.9888
angles: 65.58 65.58 90.00
With the nearest neighbours (Å) after each atom.
Element x y z (fractional)
B: 0.8750 0.8573 0.7500  2 Mo 2.08, 2 Ta 2.18
B: 0.6073 0.1250 0.2500  2 Mo 2.08, 2 Ta 2.18
B: 0.3750 0.3927 0.7500  2 Mo 2.08, 2 Ta 2.18
B: 0.1427 0.6250 0.2500  2 Mo 2.08, 2 Ta 2.18
Mo: 0.2500 0.7500 0.5000  4 B 2.08
Mo: 0.5000 0.5000 0.0000  4 B 2.08
Ta: 0.7500 0.2500 0.5000  4 B 2.18
Ta: 0.0000 0.0000 0.0000  4 B 2.18

Calculated values
The value obtained for the offset from the most stable computed form is 1.343 eV per atom. The uncorrected energy comes out at -66.7 eV per cell. The calculation puts the density of states at the Fermi level at 7.41 states/eV per cell.


6.
This record from Alexandria via LeMat-Bulk describes a geometry-optimized NdFe5Co5Mo2 structure. The functional is PBE-GGA.

abc: 4.7019 6.5012 6.4832
angles: 82.39 69.36 68.90
With the nearest neighbours (Å) after each atom.
Element x y z (fractional)
Nd: 0.0000 0.0000 0.0000  10 Co 3.01-3.24, 8 Fe 3.05-3.27, 2 Mo 3.08
Fe: 0.0000 0.5000 0.0000  4 Fe 2.35-2.62, 4 Co 2.44-2.47, 2 Mo 2.63
Fe: 0.5000 0.5000 0.0000  2 Fe 2.35, 4 Co 2.45-2.46, 2 Mo 2.61
Fe: 0.0002 0.6450 0.3586  4 Fe 2.45-2.64, 5 Co 2.59-2.65
Fe: 0.9998 0.3550 0.6414  4 Fe 2.45-2.64, 5 Co 2.59-2.65
Fe: 0.5000 0.0000 0.5000  6 Co 2.35-2.45, 2 Mo 2.61, 2 Fe 2.61
Co: 0.2707 0.2290 0.2293  5 Fe 2.44-2.65, 3 Co 2.45-2.73, 2 Mo 2.60
Co: 0.7293 0.7710 0.7707  5 Fe 2.44-2.65, 3 Co 2.45-2.73, 2 Mo 2.60
Co: 0.4987 0.2207 0.7795  5 Fe 2.45-2.63, 3 Co 2.48-2.73, 2 Mo 2.68-2.69
Co: 0.5013 0.7793 0.2205  5 Fe 2.45-2.63, 3 Co 2.48-2.73, 2 Mo 2.68-2.69
Co: 0.0000 0.0000 0.5000  4 Fe 2.35-2.59, 4 Co 2.45-2.48, 2 Mo 2.60
Mo: 0.6429 0.3575 0.3593  1 Mo 2.44, 5 Co 2.60-2.69, 3 Fe 2.61-2.63
Mo: 0.3571 0.6425 0.6407  1 Mo 2.44, 5 Co 2.60-2.69, 3 Fe 2.61-2.63

Calculated values
The uncorrected energy comes out at -104.4 eV per cell. The calculation puts the density of states at the Fermi level at 16.66 states/eV per cell.


7.
This record from Alexandria via LeMat-Bulk describes a geometry-optimized Mg2Ir structure. The functional is PBE-GGA.

abc: 5.2039 5.2039 5.2039
angles: 60.00 60.00 60.00
With the nearest neighbours (Å) after each atom.
Element x y z (fractional)
Mg: 0.1250 0.1250 0.6250  6 Mg 2.60
Mg: 0.6250 0.1250 0.1250  6 Mg 2.60
Mg: 0.1250 0.6250 0.1250  6 Mg 2.60
Mg: 0.1250 0.1250 0.1250  6 Mg 2.60
Ir: 0.5000 0.5000 0.5000  12 Mg 3.05, 4 Ir 3.19
Ir: 0.7500 0.7500 0.7500  12 Mg 3.05, 4 Ir 3.19

Calculated values
The uncorrected energy comes out at -22.1 eV per cell. The calculation puts the density of states at the Fermi level at 3.78 states/eV per cell.


8.
This record from Alexandria via LeMat-Bulk describes a geometry-optimized Tm2AlRu structure. The functional is PBE-GGA.

abc: 3.3675 3.3675 10.2547
angles: 80.55 80.55 60.00
With the nearest neighbours (Å) after each atom.
Element x y z (fractional)
Tm: 0.1022 0.1022 0.6933  3 Ru 2.75
Tm: 0.8978 0.8978 0.3067  3 Ru 2.75
Ru: 0.5000 0.5000 0.5000  6 Tm 2.75
Al: 0.0000 0.0000 0.0000  2 Tm 3.09, 6 Al 3.37

Calculated values
The uncorrected energy comes out at -21.4 eV per cell. The calculation puts the density of states at the Fermi level at 3.89 states/eV per cell.


9.
This record from Alexandria via LeMat-Bulk describes a geometry-optimized IrPt2 structure. The functional is PBE-GGA.

abc: 3.7171 3.7171 4.4776
angles: 90.00 90.00 120.00
With the nearest neighbours (Å) after each atom.
Element x y z (fractional)
Ir: 0.0000 0.0000 0.0000  6 Pt 2.56
Pt: 0.6667 0.3333 0.6865  3 Ir 2.56, 3 Pt 2.72
Pt: 0.3333 0.6667 0.3135  3 Ir 2.56, 3 Pt 2.72

Calculated values
The value obtained for the offset from the most stable computed form is 0.622 eV per atom. The uncorrected energy comes out at -19.0 eV per cell. The calculation puts the density of states at the Fermi level at 6.04 states/eV per cell.


10.
This record from Alexandria via LeMat-Bulk describes a geometry-optimized Sm3CoGe3 structure. The functional is PBE-GGA.

abc: 4.2903 5.8715 13.2998
angles: 84.81 80.72 68.57
With the nearest neighbours (Å) after each atom.
Element x y z (fractional)
Sm: 0.5965 0.7255 0.0815  7 Ge 3.02-3.25
Sm: 0.7459 0.7377 0.7705  6 Ge 2.93-3.27
Sm: 0.4737 0.6701 0.3826  6 Ge 2.96-3.24, 4 Co 3.02-3.30
Sm: 0.5263 0.3299 0.6174  6 Ge 2.96-3.24, 4 Co 3.02-3.30
Sm: 0.4035 0.2745 0.9185  7 Ge 3.02-3.25
Sm: 0.2541 0.2623 0.2295  6 Ge 2.93-3.27
Ge: 0.1466 0.2542 0.4526  3 Co 2.41-2.42
Ge: 0.8758 0.1724 0.0759  2 Ge 2.77-2.79, 5 Sm 3.00-3.03
Ge: 0.0522 0.1415 0.7542  1 Co 2.58, 1 Ge 2.77
Ge: 0.8534 0.7458 0.5474  3 Co 2.41-2.42
Ge: 0.1242 0.8276 0.9241  2 Ge 2.77-2.79, 5 Sm 3.00-3.03
Ge: 0.9478 0.8585 0.2458  1 Co 2.58, 1 Ge 2.77
Co: 0.2441 0.9303 0.5816  4 Ge 2.41-2.58
Co: 0.7559 0.0697 0.4184  4 Ge 2.41-2.58

Calculated values
The uncorrected energy comes out at -80.8 eV per cell. The calculation puts the density of states at the Fermi level at 9.91 states/eV per cell.